Record 1
# PBE BaLuAuSe2S, relaxed
data_BaLuAuSe2S
_space_group_name_H-M_alt 'P 1'
_space_group_IT_number 1
_cell_length_a 7.338
_cell_length_b 7.338
_cell_length_c 10.411
_cell_angle_alpha 90.00
_cell_angle_beta 90.00
_cell_angle_gamma 146.92
loop_
_space_group_symop_operation_xyz
'x,y,z'
loop_
_atom_site_label
_atom_site_fract_x
_atom_site_fract_y
_atom_site_fract_z
Ba1 0.244 0.756 0.750
Ba2 0.756 0.244 0.250
Lu1 0.500 0.500 0.000
Lu2 0.500 0.500 0.500
Au1 0.032 0.968 0.250
Au2 0.968 0.032 0.750
Se1 0.137 0.863 0.044
Se2 0.137 0.863 0.456
Se3 0.863 0.137 0.544
Se4 0.863 0.137 0.956
S1 0.427 0.573 0.250
S2 0.573 0.427 0.750
# Calculated total energy   -0.36510 Ry per atom
# Total moment   0.0013 μB/atom

***

Record 2
# PBE BaLuAuSe3, relaxed
data_BaLuAuSe3
_space_group_name_H-M_alt 'P 1'
_space_group_IT_number 1
_cell_length_a 9.401
_cell_length_b 9.401
_cell_length_c 8.667
_cell_angle_alpha 100.09
_cell_angle_beta 100.09
_cell_angle_gamma 25.46
loop_
_space_group_symop_operation_xyz
'x,y,z'
loop_
_atom_site_label
_atom_site_fract_x
_atom_site_fract_y
_atom_site_fract_z
Ba1 0.132 0.132 0.078
Ba2 0.868 0.868 0.922
Lu1 0.164 0.164 0.586
Lu2 0.836 0.836 0.414
Au1 0.460 0.460 0.287
Au2 0.540 0.540 0.713
Se1 0.000 0.000 0.500
Se2 0.316 0.316 0.186
Se3 0.323 0.323 0.626
Se4 0.500 0.500 0.000
Se5 0.677 0.677 0.374
Se6 0.684 0.684 0.814
# Calculated total energy   -0.35124 Ry per atom
# Total moment   0.0003 μB/atom

***

Record 3
# PBE BaLuAuSe3, relaxed
data_BaLuAuSe3
_space_group_name_H-M_alt 'P 1'
_space_group_IT_number 1
_cell_length_a 8.224
_cell_length_b 4.158
_cell_length_c 9.981
_cell_angle_alpha 90.00
_cell_angle_beta 107.62
_cell_angle_gamma 90.00
loop_
_space_group_symop_operation_xyz
'x,y,z'
loop_
_atom_site_label
_atom_site_fract_x
_atom_site_fract_y
_atom_site_fract_z
Ba1 0.238 0.250 0.281
Ba2 0.762 0.750 0.719
Lu1 0.313 0.750 0.841
Lu2 0.687 0.250 0.159
Au1 0.092 0.250 0.601
Au2 0.908 0.750 0.399
Se1 0.083 0.250 0.861
Se2 0.282 0.750 0.550
Se3 0.444 0.750 0.136
Se4 0.556 0.250 0.864
Se5 0.718 0.250 0.450
Se6 0.917 0.750 0.139
# Calculated total energy   -0.35512 Ry per atom
# Total moment   0.0005 μB/atom

***

Look up the calculated total energy of the second one.
-0.35124 Ry per atom

***

What is the calculated total energy in the first record?
-0.36510 Ry per atom